Below is a relaxed structure of NaCr2As2, with properties calculated at the GGA-PBE level.

Geometry as extended XYZ:
```
10
Lattice="7.5760 0.0000 0.0000 0.0000 7.5760 0.0000 0.0000 0.0000 2.9865" Properties=species:S:1:pos:R:3 pbc="T T T"
Na 0.0000 0.0000 0.0000
Na 3.7880 3.7880 0.0000
Cr 1.0064 2.7816 1.4932
Cr 2.7816 6.5696 1.4932
Cr 4.7944 1.0064 1.4932
Cr 6.5696 4.7944 1.4932
As 1.1823 4.9704 0.0000
As 2.6057 1.1823 0.0000
As 4.9704 6.3937 0.0000
As 6.3937 2.6057 0.0000
```

Output
- VASP energy (eV/atom) = -5.93
- distance to the lowest polymorph of the same formula (eV/f.u.) = 1.11
- M_tot (Bohr magnetons per cell) = 12.1
- Fermi-level density of states (states/eV per cell) = 9.0
- energy of formation (eV per atom) = 0.0390